Density functional theory data (PBE-GGA) for an optimized crystal structure of Ba2PuRe3O12.

Cell lengths 7.3585, 7.3585, 18.0988 Å; angles 90.00, 90.00, 120.00 degrees
Space group R-3m (No. 166, hexagonal axes)
Asymmetric unit:
Ba  0.0000  0.0000  0.1436 (multiplicity 6)
Pu  0.0000  0.0000  0.5000 (multiplicity 3)
Re  0.0000  0.5000  0.0000 (multiplicity 9)
O  0.0205  0.5102  0.1096 (multiplicity 18)
O  0.0853  0.5426  0.3383 (multiplicity 18)

Computed properties:
As for the total energy: -456.81 eV for the cell shown. As for the uncorrected formation energy: -47.72 kcal/mol of atoms.